The following is a GGA-PBE calculation of crystalline Tm2Sc2Pd3 at its relaxed geometry, from Alexandria. Values from VASP.

## Properties
Its symmetry is R-3m. Its total energy is -6.059 eV/atom. The density of states at the Fermi level is 5.05 states/eV/f.u. As for the crystal system: trigonal. The calculation puts the formation energy at -0.747 eV per atom. The calculation puts the total magnetization at 0.00 μB/atom.

Cell and atoms, written as Quantum ESPRESSO input:
```
&SYSTEM
  ibrav = 0, nat = 7, ntyp = 3
/
ATOMIC_SPECIES
Tm 168.93 Tm.upf
Sc 44.96 Sc.upf
Pd 106.42 Pd.upf
CELL_PARAMETERS angstrom
2.354 1.359 7.884
-2.354 1.359 7.884
0.000 -2.718 7.884
ATOMIC_POSITIONS angstrom
Tm 0.000 0.000 2.932
Tm 0.000 0.000 20.721
Sc 0.000 0.000 8.845
Sc 0.000 0.000 14.808
Pd 0.000 0.000 0.000
Pd 0.000 0.000 6.012
Pd 0.000 0.000 17.640
```

---

The following is a GGA-PBE calculation of crystalline TlZn3Ge3 at its relaxed geometry, from Alexandria. Values from VASP.

## Properties
Its symmetry is Pm-3n. Its total energy is -2.542 eV/atom. The density of states at the Fermi level is 4.98 states/eV/f.u. As for the crystal system: cubic. The calculation puts the formation energy at 0.321 eV per atom. The calculation puts the total magnetization at 0.00 μB/atom.

Cell and atoms, written as Quantum ESPRESSO input:
```
&SYSTEM
  ibrav = 0, nat = 14, ntyp = 3
/
ATOMIC_SPECIES
Tl 204.38 Tl.upf
Zn 65.41 Zn.upf
Ge 72.64 Ge.upf
CELL_PARAMETERS angstrom
7.042 0.000 0.000
0.000 7.042 0.000
0.000 0.000 7.042
ATOMIC_POSITIONS angstrom
Tl 0.000 0.000 0.000
Tl 3.521 3.521 3.521
Zn 0.000 1.761 3.521
Zn 0.000 5.282 3.521
Zn 1.761 3.521 0.000
Zn 3.521 0.000 1.761
Zn 3.521 0.000 5.282
Zn 5.282 3.521 0.000
Ge 0.000 3.521 1.761
Ge 0.000 3.521 5.282
Ge 1.761 0.000 3.521
Ge 3.521 1.761 0.000
Ge 3.521 5.282 0.000
Ge 5.282 0.000 3.521
```

---

The following is a GGA-PBE calculation of crystalline VCu2NiSe at its relaxed geometry, from Alexandria. Values from VASP.

## Properties
Its symmetry is P4/mmm. Its total energy is -4.074 eV/atom. The density of states at the Fermi level is 5.74 states/eV/f.u. As for the crystal system: tetragonal. The calculation puts the total magnetization at 0.51 μB/atom. Its formation energy without anion corrections is 1.242 eV/atom.

Cell and atoms, written as Quantum ESPRESSO input:
```
&SYSTEM
  ibrav = 0, nat = 5, ntyp = 4
/
ATOMIC_SPECIES
V 50.94 V.upf
Cu 63.55 Cu.upf
Ni 58.69 Ni.upf
Se 78.96 Se.upf
CELL_PARAMETERS angstrom
4.591 0.000 0.000
0.000 4.591 0.000
0.000 0.000 4.336
ATOMIC_POSITIONS angstrom
V 0.000 0.000 0.000
Cu 0.000 2.295 0.000
Cu 2.295 0.000 0.000
Ni 0.000 0.000 2.168
Se 2.295 2.295 2.168
```

---

The following is a GGA-PBE calculation of crystalline BaMnIr2 at its relaxed geometry, from Alexandria. Values from VASP.

## Properties
Its symmetry is Pmmm. Its total energy is -6.397 eV/atom. The density of states at the Fermi level is 3.59 states/eV/f.u. As for the crystal system: orthorhombic. The calculation puts the formation energy at 0.807 eV per atom. The value obtained for the distance to the lowest polymorph of the same formula is 0.849 eV per atom. The calculation puts the total magnetization at 1.10 μB/atom.

Cell and atoms, written as Quantum ESPRESSO input:
```
&SYSTEM
  ibrav = 0, nat = 4, ntyp = 3
/
ATOMIC_SPECIES
Ba 137.33 Ba.upf
Mn 54.94 Mn.upf
Ir 192.22 Ir.upf
CELL_PARAMETERS angstrom
3.123 0.000 0.000
0.000 4.946 0.000
0.000 0.000 4.999
ATOMIC_POSITIONS angstrom
Ba 0.000 0.000 0.000
Mn 1.561 0.000 2.500
Ir 0.000 2.473 2.500
Ir 1.561 2.473 0.000
```

---

The following is a GGA-PBE calculation of crystalline CsSiHg2F8 at its relaxed geometry, from Alexandria. Values from VASP.

## Properties
Its symmetry is P-1. Its total energy is -4.064 eV/atom. The density of states at the Fermi level is 3.58 states/eV/f.u. As for the crystal system: triclinic. The calculation puts the total magnetization at 0.00 μB/atom. Its formation energy without anion corrections is -2.243 eV/atom.

Cell and atoms, written as Quantum ESPRESSO input:
```
&SYSTEM
  ibrav = 0, nat = 12, ntyp = 4
/
ATOMIC_SPECIES
Cs 132.91 Cs.upf
Si 28.09 Si.upf
Hg 200.59 Hg.upf
F 19.00 F.upf
CELL_PARAMETERS angstrom
5.327 0.000 0.000
-1.054 5.318 0.000
-0.002 -1.671 7.496
ATOMIC_POSITIONS angstrom
Cs 0.000 0.000 0.000
Si -0.001 -0.835 3.748
Hg 1.979 2.744 1.916
Hg 2.291 0.904 5.580
F -0.384 3.584 2.430
F 0.204 3.947 4.771
F 0.962 0.545 3.321
F 1.478 2.136 7.309
F 2.793 1.511 0.186
F 3.309 3.102 4.175
F 4.067 -0.300 2.725
F 4.655 0.064 5.066
```

---

The following is a GGA-PBE calculation of crystalline LaYCd2 at its relaxed geometry, from Alexandria. Values from VASP.

## Properties
Its symmetry is Fm-3m. Its total energy is -3.633 eV/atom. The density of states at the Fermi level is 5.47 states/eV/f.u. As for the crystal system: cubic. The calculation puts the formation energy at -0.327 eV per atom. The value obtained for the distance to the lowest polymorph of the same formula is 0.008 eV per atom. The calculation puts the total magnetization at 0.12 μB/atom.

Cell and atoms, written as Quantum ESPRESSO input:
```
&SYSTEM
  ibrav = 0, nat = 4, ntyp = 3
/
ATOMIC_SPECIES
La 138.91 La.upf
Y 88.91 Y.upf
Cd 112.41 Cd.upf
CELL_PARAMETERS angstrom
0.000 3.850 3.850
3.850 0.000 3.850
3.850 3.850 0.000
ATOMIC_POSITIONS angstrom
La 0.000 0.000 0.000
Y 3.850 3.850 3.850
Cd 1.925 1.925 1.925
Cd 5.775 5.775 5.775
```